Here is a geometry-optimized CrI2NO structure from the Alexandria database. Energies are from GGA+U.

Cell: 5.303 5.303 3.521 Å, 90.00 90.00 90.00°
Positions (direct):
I 0.000 0.500 0.000
I 0.500 0.000 0.000
Cr 0.000 0.000 0.000
O 0.500 0.500 0.500
N 0.000 0.000 0.500

Output
Fermi-level density of states (states/eV/atom): 1.162
Total DFT energy (no corrections) (eV per atom): -3.628
V (Å³/cell): 99.02
Total magnetic moment (μB/cell): 0.00